Cs2HoRuO6 | PBE | optimized geometry

Values from the calculation:
Density ... 4.81 g/cm3
Uncorrected formation energy ... -1.61 eV per atom
Space-group type ... No. 164
Size of the total moment ... 1.04 Bohr magnetons per cell

Cell: 5.702 6.629 6.629 Å, 120.00 90.00 90.00°
Last column: magnetic moment on the atom in μB.
Fractional positions:
Cs1 0.848 0.667 0.333  0.00
Ru1 0.000 0.000 0.000  0.64
O1 0.207 0.265 0.133  0.04
O2 0.207 0.867 0.735  0.04
Ho1 0.500 0.000 0.000  0.04
O3 0.793 0.735 0.867  0.04
O4 0.207 0.867 0.133  0.04
O5 0.793 0.133 0.867  0.04
Cs2 0.152 0.333 0.667  0.00
O6 0.793 0.133 0.265  0.04